# 1
The following is a DFT calculation (GGA-PBE) of an optimized crystal structure of Y3Nb5S12.

## Properties
Formation energy without anion corrections = -103 kJ/mol of atoms
Density of states at the Fermi level = 0.606 states/eV/atom

Geometry as POSCAR:
```
Y3Nb5S12
1.0
-0.9258 12.9800 2.6031
-9.9946 -6.4218 5.9147
11.5611 -4.6196 4.5950
S Nb Y
48 20 12
Cartesian
-2.3262 -1.7092 10.3285
2.0052 -6.8166 7.0717
2.0983 -6.3797 10.3480
-7.7288 -5.2905 6.1595
5.1592 1.7991 4.4816
-6.5449 3.5297 8.8196
-5.9070 -1.9814 4.9906
4.0684 0.1358 9.2577
-4.8700 -6.4186 7.3795
0.5050 1.9776 4.2277
10.1054 -2.6899 5.3892
-1.0459 -5.4776 7.0228
-0.9909 5.4769 6.5075
-0.8938 -4.9143 10.2775
-1.3645 8.7552 6.0411
-4.5185 0.1395 8.6312
-1.4576 8.3184 2.7648
3.4903 -2.1654 3.3964
6.8517 0.6849 7.5094
1.6316 -3.5382 6.6052
-3.4246 -2.7381 7.3554
-3.2033 -1.4147 3.1269
-2.0548 1.7125 7.0853
6.5477 3.9200 8.1222
-9.4647 4.6286 7.7235
3.8439 3.3534 9.9859
0.0110 2.8789 10.8340
2.9669 3.6478 2.7842
0.1356 -0.0390 8.8851
5.3310 -5.9709 6.3293
0.6297 -0.9402 2.2788
2.6955 0.2261 6.0275
8.3695 7.2292 6.9533
-2.8497 4.1041 9.7163
-4.6904 7.9096 6.7835
-3.4277 1.8029 3.8551
7.1856 -1.5911 4.2932
5.1676 -2.7241 6.9335
1.6866 7.4163 6.0900
-4.5269 4.6627 6.1793
4.0653 4.6767 5.7574
-1.2244 5.0283 3.2398
1.5345 6.8530 2.8352
-6.2110 1.2537 5.6034
5.5106 8.3572 5.7333
1.5221 3.1212 7.1879
1.8651 -3.0896 9.8729
-0.8814 -1.1825 5.9249
-0.9734 -1.9406 3.6921
7.0743 0.6001 5.1618
-3.2763 -4.9262 6.4845
0.7833 -5.5207 5.2548
-6.4336 1.3386 7.9510
3.2463 -2.0504 5.7407
-7.5316 -2.9515 6.4005
1.6141 3.8792 9.4206
-2.6056 3.9891 7.3721
0.0000 0.0000 0.0000
5.7805 -2.3098 2.2975
-5.4602 3.2791 4.2589
3.9169 6.8648 6.6283
8.1723 4.8901 6.7123
2.0414 -0.7460 10.0836
-4.9973 -3.2109 2.9573
-1.4007 2.6846 3.0292
5.3176 4.1802 3.5991
0.3203 0.9693 6.5564
-0.4629 6.4900 1.3016
4.3442 2.2396 7.2912
0.8309 9.3999 4.1658
-2.2139 1.2287 9.9995
1.2581 4.7747 4.8287
7.5016 -4.0251 5.8247
-0.6174 -2.8361 8.2840
-3.7035 -0.3010 5.8216
-0.1902 -7.4612 8.9470
-6.8609 5.9637 7.2881
3.6379 -4.8107 8.3681
-2.9972 6.7494 4.7447
2.8546 0.7099 3.1132
```

# 2
The following is a DFT calculation (GGA-PBE) of an optimized crystal structure of Y3NbS.

## Properties
Formation energy without anion corrections = -27 kJ/mol of atoms
Density of states at the Fermi level = 1.043 states/eV/atom

Geometry as POSCAR:
```
Y3NbS
1.0
5.1700 0.0000 0.0000
0.0000 5.1700 0.0000
0.0000 0.0000 5.1700
S Y Nb
1 3 1
Cartesian
0.0000 0.0000 0.0000
2.5850 0.0000 0.0000
0.0000 0.0000 2.5850
0.0000 2.5850 0.0000
2.5850 2.5850 2.5850
```

# 3
The following is a DFT calculation (GGA-PBE) of an optimized crystal structure of Y3NbS.

## Properties
Formation energy without anion corrections = 47 kJ/mol of atoms
Density of states at the Fermi level = 0.475 states/eV/atom

Geometry as POSCAR:
```
Y3NbS
1.0
-0.2360 -2.1809 4.9447
3.8743 -3.5189 -1.3672
3.7678 3.4818 1.7155
Y S Nb
3 1 1
Cartesian
-0.1180 -1.0905 2.4724
1.8839 1.7409 0.8578
1.9372 -1.7595 -0.6836
3.7031 -1.1090 2.6465
0.0000 0.0000 0.0000
```

# 4
The following is a DFT calculation (GGA-PBE) of an optimized crystal structure of Y2NbS6.

## Properties
Formation energy without anion corrections = -122 kJ/mol of atoms
Density of states at the Fermi level = 0.688 states/eV/atom

Geometry as POSCAR:
```
Y2NbS6
1.0
-4.8013 1.6315 3.6287
-3.7969 -3.5780 -3.4152
2.2278 -9.0697 7.0254
Y Nb S
4 2 12
Cartesian
-3.9191 -2.5205 1.3052
-2.4514 -8.4957 5.9337
1.4939 -6.0820 4.7112
0.7338 -2.9876 2.3142
0.0000 0.0000 0.0000
-3.1852 -5.5081 3.6195
-4.2756 -0.7256 3.3124
-5.1793 -4.5346 2.6151
-3.6595 -3.9207 -1.0076
-1.8544 -3.7819 2.5326
-1.1912 -6.4816 4.6238
-2.4550 -0.5558 0.0610
-4.5161 -7.2344 4.7064
-6.1432 -1.3908 0.1526
-2.7110 -7.0955 8.2466
-2.0949 -10.2906 3.9265
-3.4720 -4.0206 5.6307
-2.8985 -6.9956 1.6082
```

# 5
The following is a DFT calculation (GGA-PBE) of an optimized crystal structure of YNb2S6.

## Properties
Formation energy without anion corrections = -100 kJ/mol of atoms
Density of states at the Fermi level = 0.559 states/eV/atom

Geometry as POSCAR:
```
YNb2S6
1.0
4.5665 0.0000 0.0000
2.2832 6.1627 -0.2781
2.2832 2.2524 7.7027
S Y Nb
6 1 2
Cartesian
6.8497 6.1778 7.1273
4.5665 2.7799 2.9061
2.2832 2.8036 6.0887
6.8497 5.6115 1.3359
2.2832 2.2373 0.2973
4.5665 5.6352 4.5185
2.2832 4.2075 3.7123
4.5665 6.7806 6.6167
4.5665 1.6345 0.8079
```

# 6
The following is a DFT calculation (GGA-PBE) of an optimized crystal structure of YNbS3.

## Properties
Formation energy without anion corrections = 1 kJ/mol of atoms
Density of states at the Fermi level = 0.542 states/eV/atom

Geometry as POSCAR:
```
YNbS3
1.0
-4.8822 -1.3996 0.5442
0.7524 -3.8818 -3.2336
1.2996 -3.0105 3.9164
Y S Nb
1 3 1
Cartesian
0.0000 0.0000 0.0000
-2.4411 -0.6998 0.2721
0.6498 -1.5053 1.9582
0.3762 -1.9409 -1.6168
-1.4151 -4.1460 0.6135
```

# 7
The following is a DFT calculation (GGA-PBE) of an optimized crystal structure of NbZn3S.

## Properties
Formation energy without anion corrections = 82 kJ/mol of atoms
Density of states at the Fermi level = 0.855 states/eV/atom

Geometry as POSCAR:
```
NbZn3S
1.0
-1.0814 -2.3121 -3.8297
3.4460 -2.9431 0.8038
-2.8528 -2.6786 2.4227
S Nb Zn
1 1 3
Cartesian
0.0000 0.0000 0.0000
-0.2441 -3.9669 -0.3016
1.7230 -1.4715 0.4019
-0.5407 -1.1561 -1.9149
-1.4264 -1.3393 1.2113
```

# 8
The following is a DFT calculation (GGA-PBE) of an optimized crystal structure of Nb6ZnS8.

## Properties
Formation energy without anion corrections = -95 kJ/mol of atoms
Density of states at the Fermi level = 0.596 states/eV/atom

Geometry as POSCAR:
```
Nb6ZnS8
1.0
-8.1325 -5.0277 -1.7372
8.1192 -4.6493 2.6261
-0.8759 0.2985 3.2366
S Nb Zn
8 6 1
Cartesian
-2.9962 -7.5562 2.5089
2.1070 -1.8223 1.6166
-2.9345 -4.8269 0.5271
-5.9839 -3.6340 1.3386
0.2451 -6.5348 1.5473
2.0452 -4.5516 3.5984
5.0947 -5.7445 2.7869
-1.1343 -2.8436 2.5782
3.9556 -3.4100 2.2586
-4.8448 -5.9685 1.8670
2.8008 -6.6351 2.2435
-3.6901 -2.7433 1.8820
0.6939 -4.0576 1.4356
-1.5831 -5.3208 2.6899
-0.4380 0.1493 1.6183
```

# 9
The following is a DFT calculation (GGA-PBE) of an optimized crystal structure of NbZnS3.

## Properties
Formation energy without anion corrections = -17 kJ/mol of atoms
Density of states at the Fermi level = 1.010 states/eV/atom

Geometry as POSCAR:
```
NbZnS3
1.0
4.8138 0.0000 0.0000
0.0000 4.8138 0.0000
0.0000 0.0000 4.8138
S Zn Nb
3 1 1
Cartesian
0.0000 2.4069 0.0000
0.0000 0.0000 2.4069
2.4069 0.0000 0.0000
2.4069 2.4069 2.4069
0.0000 0.0000 0.0000
```

# 10
The following is a DFT calculation (GGA-PBE) of an optimized crystal structure of Nb2ZnS.

## Properties
Formation energy without anion corrections = -2 kJ/mol of atoms
Density of states at the Fermi level = 0.592 states/eV/atom

Geometry as POSCAR:
```
Nb2ZnS
1.0
0.0000 3.1511 3.1511
3.1511 0.0000 3.1511
3.1511 3.1511 0.0000
S Zn Nb
1 1 2
Cartesian
0.0000 0.0000 0.0000
3.1511 3.1511 3.1511
1.5755 1.5755 1.5755
4.7266 4.7266 4.7266
```

Q: Which value of formation energy without anion corrections does entry 5 give?
A: -100 kJ/mol of atoms

Q: Among the records above, which one has the highest formation energy without anion corrections?
A: NbZn3S

Please write out number 5 again, unchanged.
The following is a DFT calculation (GGA-PBE) of an optimized crystal structure of YNb2S6.

## Properties
Formation energy without anion corrections = -100 kJ/mol of atoms
Density of states at the Fermi level = 0.559 states/eV/atom

Geometry as POSCAR:
```
YNb2S6
1.0
4.5665 0.0000 0.0000
2.2832 6.1627 -0.2781
2.2832 2.2524 7.7027
S Y Nb
6 1 2
Cartesian
6.8497 6.1778 7.1273
4.5665 2.7799 2.9061
2.2832 2.8036 6.0887
6.8497 5.6115 1.3359
2.2832 2.2373 0.2973
4.5665 5.6352 4.5185
2.2832 4.2075 3.7123
4.5665 6.7806 6.6167
4.5665 1.6345 0.8079
```